Density functional theory data (PBE) for CoGeOsAu after structural relaxation.

ΔE to the lowest computed polymorph (kJ per mole of atoms): 0.00
E (eV/atom): -6.136

The structure in POSCAR format:
```
CoGeOsAu
1.0
0.000 3.079 3.079
3.079 0.000 3.079
3.079 3.079 0.000
Au Ge Co Os
1 1 1 1
Direct
0.500 0.500 0.500
0.000 0.000 0.000
0.750 0.750 0.750
0.250 0.250 0.250
```

Density functional theory data (PBE) for CoGePbAu after structural relaxation.

ΔE to the lowest computed polymorph (kJ per mole of atoms): 0.00
E (eV/atom): -4.227

The structure in POSCAR format:
```
CoGePbAu
1.0
1.628 2.433 3.692
-3.011 2.155 2.914
-0.634 -1.644 4.370
Au Pb Co Ge
1 1 1 1
Direct
0.750 0.750 0.750
0.500 0.500 0.500
0.250 0.250 0.250
0.000 0.000 0.000
```

Density functional theory data (PBE) for CoReGeAu after structural relaxation.

ΔE to the lowest computed polymorph (kJ per mole of atoms): 0.00
E (eV/atom): -6.398

The structure in POSCAR format:
```
CoReGeAu
1.0
0.000 3.081 3.081
3.081 0.000 3.081
3.081 3.081 0.000
Ge Re Co Au
1 1 1 1
Direct
0.000 0.000 0.000
0.250 0.250 0.250
0.750 0.750 0.750
0.500 0.500 0.500
```

Density functional theory data (PBE) for CoGeAuS3 after structural relaxation.

E (eV/atom): -4.770

The structure in POSCAR format:
```
CoGeAuS3
1.0
1.701 -7.185 0.000
1.701 7.185 0.000
0.000 0.000 8.854
Co Au S Ge
2 2 6 2
Direct
0.500 0.500 0.000
0.500 0.500 0.500
0.799 0.201 0.750
0.201 0.799 0.250
0.539 0.461 0.750
0.896 0.104 0.521
0.461 0.539 0.250
0.104 0.896 0.479
0.896 0.104 0.979
0.104 0.896 0.021
0.842 0.158 0.250
0.158 0.842 0.750
```